Record 1
Below is crystalline CeHf2CuP4 at its relaxed geometry, with properties calculated at the PBE-GGA level.

Geometry as POSCAR:
```
CeHf2CuP4
1.0
1.8966 -6.2155 0.0000
1.8966 6.2155 0.0000
0.0000 0.0000 12.8777
Ce Hf Cu P
2 4 2 8
Cartesian
1.8966 4.7270 9.6582 Ce
1.8966 -4.7270 3.2194 Ce
1.8966 1.6231 7.2258 Hf
1.8966 1.6231 12.0907 Hf
1.8966 -1.6231 0.7870 Hf
1.8966 -1.6231 5.6519 Hf
1.8966 4.3759 3.2194 Cu
1.8966 -4.3759 9.6582 Cu
0.0000 0.0000 0.0000 P
0.0000 0.0000 6.4388 P
1.8966 2.8419 1.5113 P
1.8966 2.8419 4.9275 P
1.8966 0.5856 9.6582 P
1.8966 -0.5856 3.2194 P
1.8966 -2.8419 7.9502 P
1.8966 -2.8419 11.3663 P
```

Summary:
- SG: Cmcm
- V: 19.0 Å³ per atom
- E_tot: -120.25 eV/cell
- Calculated formation energy: -1068 meV per atom

Record 2
Below is crystalline Ce2CuHg at its relaxed geometry, with properties calculated at the PBE-GGA level.

Geometry as POSCAR:
```
Ce2CuHg
1.0
4.5029 0.0000 0.0000
0.0000 4.5029 0.0000
0.0000 0.0000 4.5471
Ce Cu Hg
2 1 1
Cartesian
0.0000 2.2514 0.0000 Ce
2.2514 0.0000 0.0000 Ce
0.0000 0.0000 2.2735 Cu
2.2514 2.2514 2.2735 Hg
```

Summary:
- SG: P4/mmm
- V: 23.0 Å³ per atom
- E_tot: -16.73 eV/cell
- Calculated formation energy: -116 meV per atom

Record 3
Below is crystalline CeCuHg at its relaxed geometry, with properties calculated at the PBE-GGA level.

Geometry as POSCAR:
```
CeCuHg
1.0
6.6249 0.0000 0.0000
0.0000 6.6249 0.0000
0.0000 0.0000 6.6249
Ce Cu Hg
4 4 4
Cartesian
0.0000 0.0000 0.0000 Ce
0.0000 3.3125 3.3125 Ce
3.3125 0.0000 3.3125 Ce
3.3125 3.3125 0.0000 Ce
1.6562 1.6562 4.9687 Cu
1.6562 4.9687 1.6562 Cu
4.9687 1.6562 1.6562 Cu
4.9687 4.9687 4.9687 Cu
0.0000 0.0000 3.3125 Hg
0.0000 3.3125 0.0000 Hg
3.3125 0.0000 0.0000 Hg
3.3125 3.3125 3.3125 Hg
```

Summary:
- SG: F-43m
- V: 24.2 Å³ per atom
- E_tot: -42.85 eV/cell
- Calculated formation energy: -127 meV per atom

Record 4
Below is crystalline Ce2CuHg3 at its relaxed geometry, with properties calculated at the PBE-GGA level.

Geometry as POSCAR:
```
Ce2CuHg3
1.0
3.3812 0.0000 0.0000
0.0000 4.9217 0.0000
0.0000 0.0000 8.5611
Ce Cu Hg
2 1 3
Cartesian
0.0000 0.0000 0.0000 Ce
0.0000 2.4609 4.1008 Ce
1.6906 0.0000 2.7147 Cu
1.6906 0.0000 5.4617 Hg
1.6906 2.4609 1.4186 Hg
1.6906 2.4609 7.0377 Hg
```

Summary:
- SG: Pmm2
- V: 23.7 Å³ per atom
- E_tot: -18.61 eV/cell
- Calculated formation energy: -290 meV per atom

Record 5
Below is crystalline Ce2CuHg at its relaxed geometry, with properties calculated at the PBE-GGA level.

Geometry as POSCAR:
```
Ce2CuHg
1.0
6.0199 0.0000 0.0000
0.0000 4.6261 0.0000
-1.3159 0.0000 6.6743
Ce Cu Hg
4 2 2
Cartesian
0.1551 1.1565 0.9175 Ce
1.5401 3.4696 3.7001 Ce
3.1640 1.1565 2.9742 Ce
4.5489 3.4696 5.7567 Ce
-0.2024 1.1565 3.9490 Cu
4.9065 3.4696 2.7253 Cu
2.7405 3.4696 0.7966 Hg
1.9636 1.1565 5.8777 Hg
```

Summary:
- SG: P2_1/m
- V: 23.2 Å³ per atom
- E_tot: -33.64 eV/cell
- Calculated formation energy: -139 meV per atom

Record 6
Below is crystalline Ce2CuHg at its relaxed geometry, with properties calculated at the PBE-GGA level.

Geometry as POSCAR:
```
Ce2CuHg
1.0
3.7814 0.0000 0.0000
0.0000 3.7814 0.0000
0.0000 0.0000 6.8095
Ce Cu Hg
2 1 1
Cartesian
0.0000 0.0000 1.4109 Ce
0.0000 0.0000 5.3986 Ce
1.8907 1.8907 0.0000 Cu
1.8907 1.8907 3.4047 Hg
```

Summary:
- SG: P4/mmm
- V: 24.3 Å³ per atom
- E_tot: -16.93 eV/cell
- Calculated formation energy: -165 meV per atom

Record 7
Below is crystalline Ce2CuHg at its relaxed geometry, with properties calculated at the PBE-GGA level.

Geometry as POSCAR:
```
Ce2CuHg
1.0
3.5708 0.0000 0.0000
-1.7854 3.0924 0.0000
0.0000 0.0000 28.0752
Ce Cu Hg
6 3 3
Cartesian
0.0000 0.0000 6.7664 Ce
0.0000 0.0000 21.3088 Ce
0.0000 2.0616 11.9504 Ce
0.0000 2.0616 25.4833 Ce
1.7854 1.0308 2.5920 Ce
1.7854 1.0308 16.1249 Ce
0.0000 0.0000 14.0376 Cu
0.0000 2.0616 4.6792 Cu
1.7854 1.0308 23.3960 Cu
0.0000 0.0000 0.0000 Hg
0.0000 2.0616 18.7168 Hg
1.7854 1.0308 9.3584 Hg
```

Summary:
- SG: R-3m
- V: 25.8 Å³ per atom
- E_tot: -48.56 eV/cell
- Calculated formation energy: 20 meV per atom

Record 8
Below is crystalline Ce3Cu2Hg3 at its relaxed geometry, with properties calculated at the PBE-GGA level.

Geometry as POSCAR:
```
Ce3Cu2Hg3
1.0
2.3265 -5.2730 0.0000
2.3265 5.2730 0.0000
0.0000 0.0000 15.6377
Ce Cu Hg
6 4 6
Cartesian
2.3265 4.4436 9.4407 Ce
2.3265 4.4436 14.0158 Ce
2.3265 1.7748 11.7283 Ce
2.3265 -1.7748 3.9094 Ce
2.3265 -4.4436 1.6219 Ce
2.3265 -4.4436 6.1970 Ce
2.3265 3.0075 1.7022 Cu
2.3265 3.0075 6.1166 Cu
2.3265 -3.0075 9.5211 Cu
2.3265 -3.0075 13.9355 Cu
2.3265 1.3390 3.9094 Hg
2.3265 1.3391 8.4968 Hg
2.3265 1.3391 14.9598 Hg
2.3265 -1.3391 0.6779 Hg
2.3265 -1.3391 7.1409 Hg
2.3265 -1.3390 11.7283 Hg
```

Summary:
- SG: Cmcm
- V: 24.0 Å³ per atom
- E_tot: -57.11 eV/cell
- Calculated formation energy: -207 meV per atom

Record 9
Below is crystalline CeCuHg at its relaxed geometry, with properties calculated at the PBE-GGA level.

Geometry as POSCAR:
```
CeCuHg
1.0
4.7533 0.0000 0.0000
-2.3767 4.1165 0.0000
0.0000 0.0000 3.3775
Ce Cu Hg
1 1 1
Cartesian
0.0000 0.0000 0.0000 Ce
2.3767 1.3722 1.6888 Cu
0.0000 2.7443 1.6888 Hg
```

Summary:
- SG: P-6m2
- V: 22.0 Å³ per atom
- E_tot: -11.02 eV/cell
- Calculated formation energy: -229 meV per atom

Record 10
Below is crystalline CeCuHg at its relaxed geometry, with properties calculated at the PBE-GGA level.

Geometry as POSCAR:
```
CeCuHg
1.0
13.5312 0.0000 0.0000
0.0000 3.8525 0.0000
0.0000 0.0000 7.7165
Ce Cu Hg
6 6 6
Cartesian
0.6405 0.0000 1.8607 Ce
3.3828 0.0000 6.5675 Ce
6.1252 0.0000 1.8607 Ce
7.4061 0.0000 5.8558 Ce
10.1484 0.0000 1.1490 Ce
12.8908 0.0000 5.8558 Ce
1.1938 1.9263 7.3116 Cu
3.3828 0.0000 3.4373 Cu
5.5719 1.9263 7.3116 Cu
7.9594 1.9263 0.4049 Cu
10.1484 0.0000 4.2792 Cu
12.3375 1.9263 0.4049 Cu
1.6070 1.9263 4.4665 Hg
3.3828 1.9263 1.4284 Hg
5.1586 1.9263 4.4665 Hg
8.3726 1.9263 3.2500 Hg
10.1484 1.9263 6.2881 Hg
11.9243 1.9263 3.2500 Hg
```

Summary:
- SG: Pmma
- V: 22.3 Å³ per atom
- E_tot: -65.99 eV/cell
- Calculated formation energy: -222 meV per atom

Record 11
Below is crystalline CeCuHg at its relaxed geometry, with properties calculated at the PBE-GGA level.

Geometry as POSCAR:
```
CeCuHg
1.0
3.3335 0.0000 0.0000
0.0000 3.3335 0.0000
0.0000 0.0000 11.4430
Ce Cu Hg
2 2 2
Cartesian
0.0000 0.0000 0.0000 Ce
1.6668 1.6668 5.7215 Ce
0.0000 0.0000 7.6162 Cu
1.6668 1.6668 1.8947 Cu
0.0000 0.0000 3.4181 Hg
1.6668 1.6668 9.1396 Hg
```

Summary:
- SG: I4mm
- V: 21.2 Å³ per atom
- E_tot: -21.32 eV/cell
- Calculated formation energy: -109 meV per atom

Record 12
Below is crystalline Ce3CuHg at its relaxed geometry, with properties calculated at the PBE-GGA level.

Geometry as POSCAR:
```
Ce3CuHg
1.0
10.9739 -2.1216 0.0000
10.9739 2.1216 0.0000
-0.7349 0.0000 5.2463
Ce Cu Hg
6 2 2
Cartesian
1.0883 0.0000 1.3276 Ce
3.3191 0.0000 4.2687 Ce
7.3191 0.0000 3.8116 Ce
13.8939 0.0000 1.4347 Ce
17.8939 0.0000 0.9776 Ce
20.1247 0.0000 3.9187 Ce
5.0143 0.0000 1.8926 Cu
16.1986 0.0000 3.3537 Cu
9.5237 0.0000 1.3829 Hg
11.6893 0.0000 3.8634 Hg
```

Summary:
- SG: C2/m
- V: 24.4 Å³ per atom
- E_tot: -45.79 eV/cell
- Calculated formation energy: -139 meV per atom

Among the records above, which one has the highest calculated formation energy?
number 7

calculated formation energy of number 12 (Ce3CuHg)?
-139 meV per atom